The following is a DFT calculation (PBE) of a relaxed SrY3Mo crystal.

a = 5.548 Å, b = 5.548 Å, c = 5.548 Å
α = 90.00°, β = 90.00°, γ = 90.00°
Fractional positions:
Y (0.500, 0.000, 0.000)
Y (0.000, 0.000, 0.500)
Y (0.000, 0.500, 0.000)
Mo (0.000, 0.000, 0.000)
Sr (0.500, 0.500, 0.500)

- Uncorrected energy: -30.42 eV/f.u.
- Total moment: 0.00 μB/f.u.
- Symmetry: No. 221
- Offset from the most stable computed form: 0.000 eV per atom
- DOS(E_F): 5.65 states/eV/cell

The following is a DFT calculation (PBE) of a relaxed SrY2Mo crystal.

a = 3.863 Å, b = 3.863 Å, c = 8.328 Å
α = 90.00°, β = 90.00°, γ = 90.00°
Fractional positions:
Sr (0.500, 0.500, 0.704)
Y (0.000, 0.000, 0.063)
Y (0.500, 0.500, 0.303)
Mo (0.000, 0.000, 0.430)

- Uncorrected energy: -23.51 eV/f.u.
- Total moment: 0.00 μB/f.u.
- Symmetry: No. 99
- Offset from the most stable computed form: 0.175 eV per atom
- DOS(E_F): 4.73 states/eV/cell

The following is a DFT calculation (PBE) of a relaxed SrY2Mo crystal.

a = 8.014 Å, b = 8.014 Å, c = 8.098 Å
α = 60.34°, β = 60.34°, γ = 90.00°
Fractional positions:
Sr (0.500, 0.500, 0.000)
Sr (0.250, 0.750, 0.500)
Y (0.375, 0.125, 0.750)
Y (0.875, 0.125, 0.250)
Y (0.875, 0.125, 0.750)
Y (0.875, 0.625, 0.250)
Mo (0.000, 0.000, 0.000)
Mo (0.750, 0.250, 0.500)

- Uncorrected energy: -21.50 eV/f.u.
- Total moment: 0.00 μB/f.u.
- Symmetry: No. 141
- Offset from the most stable computed form: 0.675 eV per atom
- DOS(E_F): 6.79 states/eV/cell

The following is a DFT calculation (PBE) of a relaxed SrY3Mo crystal.

a = 5.341 Å, b = 5.341 Å, c = 5.341 Å
α = 90.00°, β = 90.00°, γ = 90.00°
Fractional positions:
Mo (0.500, 0.500, 0.500)
Y (0.000, 0.000, 0.500)
Y (0.500, 0.000, 0.000)
Y (0.000, 0.500, 0.000)
Sr (0.000, 0.000, 0.000)

- Uncorrected energy: -22.09 eV/f.u.
- Total moment: 0.00 μB/f.u.
- Symmetry: No. 221
- Offset from the most stable computed form: 1.666 eV per atom
- DOS(E_F): 9.41 states/eV/cell